No. 1
## Sm4Th3Se8 (PBE)

Data for a relaxed structure of Sm4Th3Se8.

Summary:
- Mass density: 7.81 g/cm³
- Fermi-level density of states: 10.07 states/eV per cell
- Formation energy from raw total energies: -1.747 eV/atom

a = 8.344 Å, b = 8.344 Å, c = 8.344 Å
α = 89.94°, β = 120.07°, γ = 120.07°
Element x y z (fractional)
1 Th 0.500 0.500 0.500
2 Th 0.500 0.000 0.500
3 Th 0.500 0.500 0.000
4 Sm 0.000 0.000 0.500
5 Sm 0.000 0.500 0.000
6 Sm 0.500 0.000 0.000
7 Sm 0.000 0.000 0.000
8 Se 0.000 0.745 0.255
9 Se 0.500 0.752 0.248
10 Se 0.001 0.747 0.747
11 Se 0.999 0.253 0.253
12 Se 0.000 0.255 0.745
13 Se 0.512 0.254 0.254
14 Se 0.488 0.746 0.746
15 Se 0.500 0.248 0.752

No. 2
## Al4ZnCo (PBE)

Data for a relaxed structure of Al4ZnCo.

Summary:
- Energy relative to the elements: -0.180 eV/atom
- Mass density: 3.91 g/cm³
- Fermi-level density of states: 6.58 states/eV per cell
- Polymorph energy (0 for the lowest one): 0 meV per atom

a = 5.870 Å, b = 5.873 Å, c = 7.063 Å
α = 114.53°, β = 114.52°, γ = 90.08°
Element x y z (fractional)
1 Zn 0.625 0.375 0.750
2 Zn 0.375 0.625 0.250
3 Co 0.125 0.875 0.750
4 Co 0.875 0.125 0.250
5 Al 0.000 0.774 0.000
6 Al 0.500 0.226 0.000
7 Al 0.226 0.500 0.500
8 Al 0.000 0.226 0.000
9 Al 0.774 0.000 0.500
10 Al 0.226 0.000 0.500
11 Al 0.774 0.500 0.500
12 Al 0.500 0.774 0.000

No. 3
## KCu2Ir (PBE)

Data for a relaxed structure of KCu2Ir.

Summary:
- Energy relative to the elements: 0.582 eV/atom
- Mass density: 9.13 g/cm³
- Fermi-level density of states: 4.42 states/eV per cell
- Polymorph energy (0 for the lowest one): 251 meV per atom

a = 9.863 Å, b = 9.863 Å, c = 9.863 Å
α = 16.21°, β = 16.21°, γ = 16.21°
Element x y z (fractional)
1 Cu 0.985 0.985 0.985
2 Cu 0.252 0.252 0.252
3 K 0.751 0.751 0.751
4 Ir 0.512 0.512 0.512

No. 4
## Pm2HfPb (PBE)

Data for a relaxed structure of Pm2HfPb.

Summary:
- Energy relative to the elements: -0.098 eV/atom
- Mass density: 10.15 g/cm³
- Fermi-level density of states: 4.07 states/eV per cell
- Polymorph energy (0 for the lowest one): 0 meV per atom

a = 4.748 Å, b = 4.826 Å, c = 4.826 Å
α = 90.00°, β = 90.00°, γ = 90.00°
Element x y z (fractional)
1 Pm 0.000 0.000 0.500
2 Pm 0.000 0.500 0.000
3 Pb 0.500 0.500 0.500
4 Hf 0.500 0.000 0.000

No. 5
## Ca2As4PdAu3 (PBE)

Data for a relaxed structure of Ca2As4PdAu3.

Summary:
- Energy relative to the elements: -0.503 eV/atom
- Mass density: 8.37 g/cm³
- Fermi-level density of states: 4.31 states/eV per cell

a = 4.431 Å, b = 4.431 Å, c = 10.890 Å
α = 90.00°, β = 90.00°, γ = 90.00°
Element x y z (fractional)
1 As 0.500 0.000 0.630
2 As 0.000 0.500 0.370
3 As 0.500 0.500 0.000
4 As 0.000 0.000 0.000
5 Pd 0.500 0.500 0.500
6 Au 0.000 0.000 0.500
7 Au 0.000 0.500 0.141
8 Au 0.500 0.000 0.859
9 Ca 0.500 0.000 0.264
10 Ca 0.000 0.500 0.736

No. 6
## Hf3Be3Ga (PBE)

Data for a relaxed structure of Hf3Be3Ga.

Summary:
- Energy relative to the elements: -0.221 eV/atom
- Mass density: 9.72 g/cm³
- Fermi-level density of states: 6.14 states/eV per cell

a = 3.839 Å, b = 3.281 Å, c = 8.941 Å
α = 100.57°, β = 102.40°, γ = 90.00°
Element x y z (fractional)
1 Be 0.860 0.360 0.720
2 Be 0.569 0.569 0.139
3 Be 0.136 0.636 0.272
4 Hf 0.691 0.191 0.382
5 Hf 0.010 0.010 0.019
6 Hf 0.300 0.800 0.600
7 Ga 0.435 0.435 0.869

No. 7
## LiPaBiPd (PBE)

Data for a relaxed structure of LiPaBiPd.

Summary:
- Energy relative to the elements: -0.234 eV/atom
- Mass density: 10.11 g/cm³
- Fermi-level density of states: 5.29 states/eV per cell

a = 5.047 Å, b = 5.047 Å, c = 5.047 Å
α = 60.00°, β = 60.00°, γ = 60.00°
Each line ends with the local moment (μB).
Element x y z (fractional)
1 Li 0.000 0.000 0.000  0.01
2 Bi 0.750 0.750 0.750  0.00
3 Pa 0.500 0.500 0.500  0.70
4 Pd 0.250 0.250 0.250  -0.04

No. 8
## DyLuIrPb (PBE)

Data for a relaxed structure of DyLuIrPb.

Summary:
- Energy relative to the elements: -0.490 eV/atom
- Mass density: 13.14 g/cm³
- Fermi-level density of states: 3.85 states/eV per cell

a = 5.087 Å, b = 5.087 Å, c = 5.087 Å
α = 60.00°, β = 60.00°, γ = 60.00°
Element x y z (fractional)
1 Lu 0.750 0.750 0.750
2 Dy 0.250 0.250 0.250
3 Ir 0.500 0.500 0.500
4 Pb 0.000 0.000 0.000

No. 9
## PmMg2MoN4 (PBE)

Data for a relaxed structure of PmMg2MoN4.

Summary:
- Mass density: 4.89 g/cm³
- Fermi-level density of states: 7.61 states/eV per cell
- Formation energy from raw total energies: -0.821 eV/atom

a = 5.362 Å, b = 6.071 Å, c = 7.210 Å
α = 90.00°, β = 90.00°, γ = 90.00°
Each line ends with the local moment (μB).
Element x y z (fractional)
1 N 0.381 0.668 0.282  0.00
2 N 0.441 0.139 0.500  0.01
3 N 0.881 0.332 0.782  0.00
4 N 0.350 0.216 0.000  0.01
5 N 0.850 0.784 0.500  0.01
6 N 0.881 0.332 0.218  0.00
7 N 0.941 0.861 0.000  0.01
8 N 0.381 0.668 0.718  0.00
9 Mo 0.995 0.185 0.000  0.48
10 Mo 0.495 0.815 0.500  0.48
11 Mg 0.490 0.338 0.253  0.01
12 Mg 0.990 0.662 0.753  0.01
13 Mg 0.990 0.662 0.247  0.01
14 Mg 0.490 0.338 0.747  0.01
15 Pm 0.973 0.154 0.500  0.08
16 Pm 0.473 0.846 0.000  0.08

No. 10
## LiHg2F6 (PBE)

Data for a relaxed structure of LiHg2F6.

Summary:
- Mass density: 6.12 g/cm³
- Fermi-level density of states: 10.23 states/eV per cell
- Formation energy from raw total energies: -1.607 eV/atom
- Polymorph energy (0 for the lowest one): 0 meV per atom

a = 5.361 Å, b = 5.644 Å, c = 9.370 Å
α = 88.43°, β = 90.00°, γ = 90.00°
Each line ends with the local moment (μB).
Element x y z (fractional)
1 Li 0.500 0.500 0.000  0.00
2 Li 0.000 0.000 0.500  0.00
3 F 0.674 0.331 0.820  0.06
4 F 0.753 0.351 0.147  0.05
5 F 0.817 0.307 0.473  0.05
6 F 0.183 0.693 0.527  0.05
7 F 0.174 0.169 0.680  0.06
8 F 0.683 0.807 0.973  0.05
9 F 0.747 0.851 0.647  0.05
10 F 0.826 0.831 0.320  0.06
11 F 0.317 0.193 0.027  0.05
12 F 0.247 0.649 0.853  0.05
13 F 0.253 0.149 0.353  0.05
14 F 0.326 0.669 0.180  0.06
15 Hg 0.450 0.987 0.811  0.07
16 Hg 0.950 0.513 0.689  0.07
17 Hg 0.550 0.013 0.189  0.07
18 Hg 0.050 0.487 0.311  0.07

No. 11
## V2SiN (PBE)

Data for a relaxed structure of V2SiN.

Summary:
- Mass density: 4.82 g/cm³
- Fermi-level density of states: 7.63 states/eV per cell
- Formation energy from raw total energies: -0.305 eV/atom
- Polymorph energy (0 for the lowest one): 407 meV per atom

a = 5.884 Å, b = 5.884 Å, c = 5.052 Å
α = 54.38°, β = 54.38°, γ = 90.00°
Element x y z (fractional)
1 V 0.375 0.461 0.750
2 V 0.211 0.625 0.250
3 V 0.875 0.789 0.750
4 V 0.539 0.125 0.250
5 Si 0.750 0.250 0.500
6 Si 0.000 0.000 0.000
7 N 0.250 0.750 0.500
8 N 0.500 0.500 0.000

No. 12
## RbHfB (PBE)

Data for a relaxed structure of RbHfB.

Summary:
- Energy relative to the elements: 0.815 eV/atom
- Mass density: 5.36 g/cm³
- Fermi-level density of states: 2.18 states/eV per cell
- Polymorph energy (0 for the lowest one): 769 meV per atom

a = 3.939 Å, b = 3.939 Å, c = 6.335 Å
α = 90.00°, β = 90.00°, γ = 120.00°
Each line ends with the local moment (μB).
Element x y z (fractional)
1 Hf 0.333 0.667 0.000  0.37
2 Rb 0.667 0.333 0.500  0.04
3 B 0.000 0.000 0.000  0.04